[1]
Compound: RbBePt
Source: the Open Quantum Materials Database
Functional: PBE
Structure: optimized geometry

Computed properties:
Offset from the most stable computed form: 822 meV/atom
Symmetry: F-43m

a b c (Å): 5.0498 5.0498 5.0498
angles (deg): 60.00 60.00 60.00
Fractional positions:
Pt1 0.7500 0.7500 0.7500
Be1 0.2500 0.2500 0.2500
Rb1 0.0000 0.0000 0.0000

[2]
Compound: BaMgCdIn2
Source: the Open Quantum Materials Database
Functional: PBE
Structure: optimized geometry

Computed properties:
Raw total energy: -2.27 eV/atom
Symmetry: I4mm

a b c (Å): 7.1617 7.1617 7.1617
angles (deg): 140.21 140.21 57.53
Fractional positions:
In1 0.7490 0.2490 0.5000
Mg1 0.6145 0.6145 0.0000
Cd1 0.3889 0.3889 0.0000
In2 0.2490 0.7490 0.5000
Ba1 0.9985 0.9985 0.0000

[3]
Compound: CuGeTe
Source: the Open Quantum Materials Database
Functional: PBE
Structure: optimized geometry

Computed properties:
Raw total energy: -3.72 eV/atom
Symmetry: Pnma

a b c (Å): 5.9463 3.9847 11.6042
angles (deg): 90.00 90.00 90.00
Fractional positions:
Te1 0.6665 0.2500 0.3845
Ge1 0.8179 0.7500 0.6479
Ge2 0.1821 0.2500 0.3521
Te2 0.1665 0.2500 0.1155
Ge3 0.6821 0.2500 0.1479
Cu1 0.4559 0.7500 0.1063
Te3 0.8335 0.7500 0.8845
Cu2 0.5442 0.2500 0.8937
Te4 0.3335 0.7500 0.6155
Cu3 0.0441 0.2500 0.6063
Cu4 0.9559 0.7500 0.3937
Ge4 0.3179 0.7500 0.8521

[4]
Compound: La2PrZn4Ge4
Source: the Open Quantum Materials Database
Functional: PBE
Structure: optimized geometry

Computed properties:
Raw total energy: -4.08 eV/atom
Symmetry: Immm

a b c (Å): 13.0270 13.0270 13.0270
angles (deg): 161.04 161.00 26.97
Fractional positions:
Ge1 0.1918 0.6918 0.5000
Zn1 0.9058 0.4058 0.5000
La1 0.6455 0.1455 0.5000
Ge2 0.5490 0.5490 0.0000
Pr1 0.0000 0.0000 0.0000
Zn2 0.0942 0.5942 0.5000
Ge3 0.8082 0.3082 0.5000
Zn3 0.2497 0.2497 0.0000
Zn4 0.7503 0.7503 0.0000
Ge4 0.4510 0.4510 0.0000
La2 0.3545 0.8545 0.5000